DFT (PBE) results for a relaxed structure of Rb2TcCl6.

Lattice parameters (Å, degrees): 7.110 7.110 7.110 119.39 119.39 91.05
Each line ends with the local moment (μB).
Sites, in units of the cell vectors:
1 Rb 0.750 0.250 0.500  0.00
2 Rb 0.250 0.750 0.500  0.00
3 Cl 0.762 0.762 0.000  0.05
4 Cl 0.234 0.234 0.468  0.05
5 Cl 0.238 0.238 0.000  0.05
6 Cl 0.766 0.766 0.532  0.05
7 Cl 0.234 0.766 0.000  0.05
8 Cl 0.766 0.234 0.000  0.05
9 Tc 0.000 0.000 0.000  2.31

Calculated values
Calculated density, g cm⁻³: 3.1
DFT total energy, eV/cell: -35.56
Space-group type: I4/mmm (139)

DFT (PBE) results for a relaxed structure of NdTaGa.

Lattice parameters (Å, degrees): 4.688 4.688 4.688 60.00 60.00 60.00
Sites, in units of the cell vectors:
1 Ta 0.750 0.750 0.750
2 Nd 0.250 0.250 0.250
3 Ga 0.000 0.000 0.000

Calculated values
Calculated density, g cm⁻³: 9.0
DFT total energy, eV/cell: -18.49
Space-group type: F-43m (216)

DFT (PBE) results for a relaxed structure of YHoTeC.

Lattice parameters (Å, degrees): 3.826 3.826 13.998 90.00 90.00 120.00
Sites, in units of the cell vectors:
1 Te 0.667 0.333 0.500
2 Te 0.333 0.667 0.000
3 Y 0.667 0.333 0.843
4 Y 0.667 0.333 0.157
5 Ho 0.333 0.667 0.657
6 Ho 0.333 0.667 0.343
7 C 0.000 0.000 0.251
8 C 0.000 0.000 0.749

Calculated values
Calculated density, g cm⁻³: 7.4
DFT total energy, eV/cell: -53.87
Space-group type: P-6m2 (187)

DFT (PBE) results for a relaxed structure of TaFeP.

Lattice parameters (Å, degrees): 3.916 3.916 6.009 90.00 90.00 120.00
Sites, in units of the cell vectors:
1 Ta 0.000 0.000 0.221
2 Ta 0.000 0.000 0.721
3 Fe 0.667 0.333 0.566
4 Fe 0.333 0.667 0.066
5 P 0.333 0.667 0.463
6 P 0.667 0.333 0.963

Calculated values
Calculated density, g cm⁻³: 11.1
DFT total energy, eV/cell: -54.49
Space-group type: P6_3mc (186)